VASP calculation (PBE) on ZrTiIn3 after structural relaxation.

a = 5.133 Å, b = 5.133 Å, c = 5.133 Å
α = 90.00°, β = 90.00°, γ = 90.00°
Fractional positions:
Ti1 0.000 0.000 0.000
Zr1 0.500 0.500 0.500
In1 0.000 0.500 0.000
In2 0.000 0.000 0.500
In3 0.500 0.000 0.000

N(E_F)	1.14	states/eV/atom
volume	27.05	Å³/atom
space-group type	Pm-3m
energy of formation	0.66	eV/atom
energy relative to the lowest polymorph listed for this composition	0.771	eV per atom